First-principles (PBE) data for a relaxed DyScNO crystal, as listed in OQMD.

Total energy ... -0.3064 hartree per atom

Unit cell a=3.8346 b=4.6549 c=6.6348 alpha=90.00 beta=90.00 gamma=90.00
Fractional positions:
Dy 0.5000 0.9385 0.1685
Dy 0.5000 0.4385 0.8315
N 0.0000 0.9385 0.3485
N 0.0000 0.4385 0.6515
O 0.5000 0.4385 0.1919
O 0.5000 0.9385 0.8081
Sc 0.0000 0.4385 0.3385
Sc 0.0000 0.9385 0.6615